A relaxed Ta2TcBr crystal, computed with PBE.

a b c (Å): 4.844 4.844 3.113
angles (deg): 83.38 83.38 104.26
Fractional coordinates of all 4 atoms:
1 Br 0.000 0.500 0.500
2 Ta 0.500 0.500 0.000
3 Ta 0.000 0.000 0.000
4 Tc 0.500 0.000 0.500

Properties
- calculated volume (Å³ per cell) = 69.5
- symmetry = No. 12
- E (eV per atom) = -8.388
- crystal system = monoclinic
- relative energy among the computed polymorphs (meV/atom) = 485


A relaxed SrLi2Ru crystal, computed with PBE.

a b c (Å): 5.507 5.507 5.251
angles (deg): 74.66 74.66 34.23
Site moments in Bohr magnetons follow the coordinates.
Fractional coordinates of all 4 atoms:
1 Ru 0.750 0.750 0.750  0.68
2 Sr 0.250 0.250 0.250  -0.01
3 Li 0.038 0.038 0.920  0.00
4 Li 0.462 0.462 0.580  0.00

Properties
- calculated volume (Å³ per cell) = 86.1
- symmetry = No. 12
- E (eV per atom) = -3.319
- crystal system = monoclinic
- relative energy among the computed polymorphs (meV/atom) = 12
- formation energy from the elements (kcal/mol of atoms) = 8.71


A relaxed CaTmSe2 crystal, computed with PBE.

a b c (Å): 4.075 4.075 7.178
angles (deg): 73.51 73.51 60.00
Fractional coordinates of all 4 atoms:
1 Ca 0.500 0.500 0.500
2 Tm 0.000 0.000 0.000
3 Se 0.747 0.747 0.759
4 Se 0.253 0.253 0.241

Properties
- calculated volume (Å³ per cell) = 97.5
- symmetry = No. 166
- E (eV per atom) = -5.196
- crystal system = trigonal
- relative energy among the computed polymorphs (meV/atom) = 0


A relaxed La2S3 crystal, computed with PBE.

a b c (Å): 4.134 10.929 11.189
angles (deg): 90.00 90.00 90.00
Fractional coordinates of all 20 atoms:
1 S 0.750 0.056 0.621
2 S 0.750 0.801 0.771
3 S 0.750 0.699 0.271
4 S 0.250 0.301 0.729
5 S 0.250 0.627 0.548
6 S 0.250 0.556 0.879
7 S 0.250 0.873 0.048
8 S 0.250 0.199 0.229
9 S 0.250 0.944 0.379
10 S 0.750 0.444 0.121
11 S 0.750 0.373 0.452
12 S 0.750 0.127 0.952
13 La 0.250 0.508 0.310
14 La 0.250 0.186 0.493
15 La 0.250 0.314 0.993
16 La 0.250 0.992 0.810
17 La 0.750 0.686 0.007
18 La 0.750 0.814 0.507
19 La 0.750 0.492 0.690
20 La 0.750 0.008 0.190

Properties
- calculated volume (Å³ per cell) = 505.5
- symmetry = No. 62
- E (eV per atom) = -6.644
- crystal system = orthorhombic


A relaxed YZr2Te crystal, computed with PBE.

a b c (Å): 6.105 6.105 6.105
angles (deg): 145.53 127.95 63.94
Fractional coordinates of all 4 atoms:
1 Te 0.513 0.513 0.000
2 Zr 0.990 0.990 0.000
3 Zr 0.743 0.243 0.500
4 Y 0.254 0.754 0.500

Properties
- calculated volume (Å³ per cell) = 100.4
- symmetry = No. 44
- E (eV per atom) = -6.925
- crystal system = orthorhombic


A relaxed KRu2Rh crystal, computed with PBE.

a b c (Å): 5.920 5.920 5.920
angles (deg): 153.40 131.26 56.38
Fractional coordinates of all 4 atoms:
1 Ru 0.034 0.034 0.000
2 Ru 0.466 0.466 0.000
3 Rh 0.250 0.750 0.500
4 K 0.750 0.250 0.500

Properties
- calculated volume (Å³ per cell) = 69.4
- symmetry = No. 71
- E (eV per atom) = -5.860
- crystal system = orthorhombic
- relative energy among the computed polymorphs (meV/atom) = 297
- formation energy from the elements (kcal/mol of atoms) = 20.54